#P
Density functional theory data (PBE-GGA) for a relaxed TbGd2Tm crystal.

Output
* M_tot: 3.638 μB per atom

The structure in extended XYZ format:
```
4
Lattice="1.775 1.025 11.580 -1.775 1.025 11.580 0.000 -2.050 11.580" Properties=species:S:1:pos:R:3 pbc="T T T"
Tb 0.000 0.000 0.000
Gd 0.000 0.000 8.661
Gd 0.000 0.000 26.078
Tm 0.000 0.000 17.369
```


#Q
Density functional theory data (PBE-GGA) for a relaxed TbGd2Tm crystal.

Output
* M_tot: 3.982 μB per atom

The structure in extended XYZ format:
```
4
Lattice="0.000 3.999 3.999 3.999 0.000 3.999 3.999 3.999 0.000" Properties=species:S:1:pos:R:3 pbc="T T T"
Tb 0.000 0.000 0.000
Gd 2.000 2.000 2.000
Gd 5.999 5.999 5.999
Tm 3.999 3.999 3.999
```


Of them, #Q has the lowest stability.


#P
Density functional theory data (PBE-GGA) for a relaxed TbGdTm2 crystal.

Output
* M_tot: 1.782 μB per atom

The structure in extended XYZ format:
```
4
Lattice="5.001 0.000 0.000 0.000 5.001 0.000 0.000 0.000 4.957" Properties=species:S:1:pos:R:3 pbc="T T T"
Tb 0.000 0.000 0.000
Gd 2.500 2.500 0.000
Tm 0.000 2.500 2.478
Tm 2.500 0.000 2.478
```


#Q
Density functional theory data (PBE-GGA) for a relaxed TbGdTm2 crystal.

Output
* M_tot: 1.976 μB per atom

The structure in extended XYZ format:
```
4
Lattice="0.000 3.977 3.977 3.977 0.000 3.977 3.977 3.977 0.000" Properties=species:S:1:pos:R:3 pbc="T T T"
Tb 0.000 0.000 0.000
Gd 3.977 3.977 3.977
Tm 1.989 1.989 1.989
Tm 5.966 5.966 5.966
```


Of them, #Q has the lowest stability.


#P
Density functional theory data (PBE-GGA) for a relaxed TbGd2Y crystal.

Output
* M_tot: 4.001 μB per atom

The structure in extended XYZ format:
```
4
Lattice="0.000 4.025 4.025 4.025 0.000 4.025 4.025 4.025 0.000" Properties=species:S:1:pos:R:3 pbc="T T T"
Tb 0.000 0.000 0.000
Gd 2.013 2.013 2.013
Gd 6.038 6.038 6.038
Y 4.025 4.025 4.025
```


#Q
Density functional theory data (PBE-GGA) for a relaxed TbGd2Y crystal.

Output
* M_tot: 3.629 μB per atom

The structure in extended XYZ format:
```
4
Lattice="5.053 0.000 0.000 0.000 5.053 0.000 0.000 0.000 5.049" Properties=species:S:1:pos:R:3 pbc="T T T"
Tb 0.000 0.000 0.000
Gd 0.000 2.527 2.525
Gd 2.527 0.000 2.525
Y 2.527 2.527 0.000
```


Of them, #P has the lowest stability.


#P
Density functional theory data (PBE-GGA) for a relaxed TbGdY2 crystal.

Output
* M_tot: 1.804 μB per atom

The structure in extended XYZ format:
```
4
Lattice="3.573 0.000 0.000 0.000 3.573 0.000 0.000 0.000 10.107" Properties=species:S:1:pos:R:3 pbc="T T T"
Tb 0.000 0.000 0.000
Gd 0.000 0.000 5.054
Y 1.786 1.786 2.509
Y 1.786 1.786 7.599
```


#Q
Density functional theory data (PBE-GGA) for a relaxed TbGdY2 crystal.

Output
* M_tot: 2.153 μB per atom

The structure in extended XYZ format:
```
4
Lattice="0.000 4.029 4.029 4.029 0.000 4.029 4.029 4.029 0.000" Properties=species:S:1:pos:R:3 pbc="T T T"
Tb 0.000 0.000 0.000
Gd 4.029 4.029 4.029
Y 2.015 2.015 2.015
Y 6.044 6.044 6.044
```


Of them, #Q has the lowest stability.


#P
Density functional theory data (PBE-GGA) for a relaxed Tb2GdY crystal.

Output
* M_tot: 1.779 μB per atom

The structure in extended XYZ format:
```
4
Lattice="5.043 0.000 0.000 0.000 5.043 0.000 0.000 0.000 5.051" Properties=species:S:1:pos:R:3 pbc="T T T"
Tb 0.000 2.522 0.000
Tb 2.522 0.000 0.000
Gd 0.000 0.000 2.525
Y 2.522 2.522 2.525
```


#Q
Density functional theory data (PBE-GGA) for a relaxed Tb2GdY crystal.

Output
* M_tot: 2.249 μB per atom

The structure in extended XYZ format:
```
4
Lattice="0.000 4.025 4.025 4.025 0.000 4.025 4.025 4.025 0.000" Properties=species:S:1:pos:R:3 pbc="T T T"
Tb 2.012 2.012 2.012
Tb 6.037 6.037 6.037
Gd 0.000 0.000 0.000
Y 4.025 4.025 4.025
```


Of them, #Q has the lowest stability.


#P
Density functional theory data (PBE-GGA) for a relaxed TbGd2Zn crystal.

Output
* M_tot: 3.838 μB per atom

The structure in extended XYZ format:
```
4
Lattice="4.760 0.000 0.000 0.000 4.760 0.000 0.000 0.000 4.794" Properties=species:S:1:pos:R:3 pbc="T T T"
Tb 0.000 0.000 0.000
Gd 0.000 2.380 2.397
Gd 2.380 0.000 2.397
Zn 2.380 2.380 0.000
```


#Q
Density functional theory data (PBE-GGA) for a relaxed TbGd2Zn crystal.

Output
* M_tot: 3.742 μB per atom

The structure in extended XYZ format:
```
4
Lattice="1.740 1.005 11.822 -1.740 1.005 11.822 0.000 -2.009 11.822" Properties=species:S:1:pos:R:3 pbc="T T T"
Tb 0.000 0.000 0.000
Gd 0.000 0.000 14.674
Gd 0.000 0.000 20.790
Zn 0.000 0.000 17.732
```


Of them, #Q has the lowest stability.


#P
Density functional theory data (PBE-GGA) for a relaxed TbGd2Zn crystal.

Output
* M_tot: 3.740 μB per atom

The structure in extended XYZ format:
```
4
Lattice="0.000 3.794 3.794 3.794 0.000 3.794 3.794 3.794 0.000" Properties=species:S:1:pos:R:3 pbc="T T T"
Tb 0.000 0.000 0.000
Gd 1.897 1.897 1.897
Gd 5.692 5.692 5.692
Zn 3.794 3.794 3.794
```


#Q
Density functional theory data (PBE-GGA) for a relaxed TbGd2Zn crystal.

Output
* M_tot: 3.613 μB per atom

The structure in extended XYZ format:
```
4
Lattice="3.585 0.000 0.000 0.000 3.585 0.000 0.000 0.000 8.695" Properties=species:S:1:pos:R:3 pbc="T T T"
Tb 0.000 0.000 0.000
Gd 1.793 1.793 2.537
Gd 1.793 1.793 6.158
Zn 0.000 0.000 4.348
```


Of them, #P has the lowest stability.


#P
Density functional theory data (PBE-GGA) for a relaxed TbGd2Zr crystal.

Output
* M_tot: 3.692 μB per atom

The structure in extended XYZ format:
```
4
Lattice="1.686 0.974 12.029 -1.686 0.974 12.029 0.000 -1.947 12.029" Properties=species:S:1:pos:R:3 pbc="T T T"
Tb 0.000 0.000 0.000
Gd 0.000 0.000 14.943
Gd 0.000 0.000 21.145
Zr 0.000 0.000 18.044
```


#Q
Density functional theory data (PBE-GGA) for a relaxed TbGd2Zr crystal.

Output
* M_tot: 4.210 μB per atom

The structure in extended XYZ format:
```
4
Lattice="0.000 3.906 3.906 3.906 0.000 3.906 3.906 3.906 0.000" Properties=species:S:1:pos:R:3 pbc="T T T"
Tb 0.000 0.000 0.000
Gd 1.953 1.953 1.953
Gd 5.859 5.859 5.859
Zr 3.906 3.906 3.906
```


#R
Density functional theory data (PBE-GGA) for a relaxed TbGd2Zr crystal.

Output
* M_tot: 3.578 μB per atom

The structure in extended XYZ format:
```
4
Lattice="3.433 0.000 0.000 0.000 3.433 0.000 0.000 0.000 9.955" Properties=species:S:1:pos:R:3 pbc="T T T"
Tb 0.000 0.000 0.000
Gd 1.716 1.716 2.669
Gd 1.716 1.716 7.286
Zr 0.000 0.000 4.978
```


#S
Density functional theory data (PBE-GGA) for a relaxed TbGd2Zr crystal.

Output
* M_tot: 3.499 μB per atom

The structure in extended XYZ format:
```
4
Lattice="4.879 0.000 0.000 0.000 4.879 0.000 0.000 0.000 4.893" Properties=species:S:1:pos:R:3 pbc="T T T"
Tb 0.000 0.000 0.000
Gd 0.000 2.439 2.447
Gd 2.439 0.000 2.447
Zr 2.439 2.439 0.000
```


Of them, #P has the lowest stability.


#P
Density functional theory data (PBE-GGA) for a relaxed Gd2ThTc crystal.

Output
* M_tot: 3.773 μB per atom

The structure in extended XYZ format:
```
4
Lattice="2.700 1.559 4.006 -2.700 1.559 4.006 0.000 -3.117 4.006" Properties=species:S:1:pos:R:3 pbc="T T T"
Gd 0.000 0.000 2.863
Gd 0.000 0.000 9.156
Th 0.000 0.000 6.010
Tc 0.000 0.000 0.000
```


#Q
Density functional theory data (PBE-GGA) for a relaxed Gd2ThTc crystal.

Output
* M_tot: 3.534 μB per atom

The structure in extended XYZ format:
```
4
Lattice="3.491 0.000 0.000 0.000 3.491 0.000 0.000 0.000 8.723" Properties=species:S:1:pos:R:3 pbc="T T T"
Gd 0.000 0.000 1.672
Gd 0.000 0.000 7.051
Th 1.745 1.745 4.361
Tc 1.745 1.745 0.000
```


Of them, #P has the lowest stability.


#P
Density functional theory data (PBE-GGA) for a relaxed GdTm2Tc crystal.

Output
* M_tot: 2.022 μB per atom

The structure in extended XYZ format:
```
4
Lattice="3.440 0.000 0.000 0.000 3.440 0.000 0.000 0.000 8.711" Properties=species:S:1:pos:R:3 pbc="T T T"
Gd 0.000 0.000 0.000
Tm 1.720 1.720 2.748
Tm 1.720 1.720 5.963
Tc 0.000 0.000 4.356
```


#Q
Density functional theory data (PBE-GGA) for a relaxed GdTm2Tc crystal.

Output
* M_tot: 1.795 μB per atom

The structure in extended XYZ format:
```
4
Lattice="0.000 3.618 3.618 3.618 0.000 3.618 3.618 3.618 0.000" Properties=species:S:1:pos:R:3 pbc="T T T"
Gd 0.000 0.000 0.000
Tm 1.809 1.809 1.809
Tm 5.427 5.427 5.427
Tc 3.618 3.618 3.618
```


Of them, #Q has the lowest stability.


#P
Density functional theory data (PBE-GGA) for a relaxed GdVTc2 crystal.

Output
* M_tot: 1.745 μB per atom

The structure in extended XYZ format:
```
4
Lattice="3.135 0.000 0.000 0.000 3.135 0.000 0.000 0.000 6.987" Properties=species:S:1:pos:R:3 pbc="T T T"
Gd 0.000 0.000 0.000
V 0.000 0.000 3.493
Tc 1.568 1.568 2.099
Tc 1.568 1.568 4.888
```


#Q
Density functional theory data (PBE-GGA) for a relaxed GdVTc2 crystal.

Output
* M_tot: 1.801 μB per atom

The structure in extended XYZ format:
```
4
Lattice="0.000 3.218 3.218 3.218 0.000 3.218 3.218 3.218 0.000" Properties=species:S:1:pos:R:3 pbc="T T T"
Gd 0.000 0.000 0.000
V 3.218 3.218 3.218
Tc 1.609 1.609 1.609
Tc 4.827 4.827 4.827
```


Of them, #Q has the lowest stability.


#P
Density functional theory data (PBE-GGA) for a relaxed GdZr2Tc crystal.

Output
* M_tot: 1.996 μB per atom

The structure in extended XYZ format:
```
4
Lattice="3.346 0.000 0.000 0.000 3.346 0.000 0.000 0.000 8.078" Properties=species:S:1:pos:R:3 pbc="T T T"
Gd 0.000 0.000 0.000
Zr 1.673 1.673 2.479
Zr 1.673 1.673 5.599
Tc 0.000 0.000 4.039
```


#Q
Density functional theory data (PBE-GGA) for a relaxed GdZr2Tc crystal.

Output
* M_tot: 1.917 μB per atom

The structure in extended XYZ format:
```
4
Lattice="0.000 3.478 3.478 3.478 0.000 3.478 3.478 3.478 0.000" Properties=species:S:1:pos:R:3 pbc="T T T"
Gd 0.000 0.000 0.000
Zr 1.739 1.739 1.739
Zr 5.217 5.217 5.217
Tc 3.478 3.478 3.478
```


Of them, #Q has the lowest stability.